1.
# CrCo2Ni

A relaxed CrCo2Ni crystal (GGA-PBE, the Alexandria database).

Values from the calculation:
DFT total energy   -7.243 eV/atom
Energy relative to the elements   0.1614 eV/atom
Crystal system   monoclinic

CIF file:
```
data_CrCo2Ni
_symmetry_space_group_name_H-M 'P 1 2/m 1'
_symmetry_Int_Tables_number 10
_symmetry_space_group_name_Hall '-P 2y'
_cell_length_a 2.4031
_cell_length_b 4.0659
_cell_length_c 4.5653
_cell_angle_alpha 90.00
_cell_angle_beta 96.79
_cell_angle_gamma 90.00
loop_
_atom_site_label
_atom_site_fract_x
_atom_site_fract_y
_atom_site_fract_z
Cr1 0.0000 0.0000 0.0000
Co1 0.2189 0.5000 0.7517
Ni1 0.5000 0.0000 0.5000
```

---

2.
# Cr2CoNi4

A relaxed Cr2CoNi4 crystal (GGA-PBE, the Alexandria database).

Values from the calculation:
DFT total energy   -6.929 eV/atom
Energy relative to the elements   0.1389 eV/atom
Crystal system   monoclinic

CIF file:
```
data_Cr2CoNi4
_symmetry_space_group_name_H-M 'P 1 2/m 1'
_symmetry_Int_Tables_number 10
_symmetry_space_group_name_Hall '-P 2y'
_cell_length_a 5.8724
_cell_length_b 2.4538
_cell_length_c 6.0628
_cell_angle_alpha 90.00
_cell_angle_beta 116.54
_cell_angle_gamma 90.00
loop_
_atom_site_label
_atom_site_fract_x
_atom_site_fract_y
_atom_site_fract_z
Cr1 0.1328 0.0000 0.2231
Co1 0.0000 0.5000 0.5000
Ni1 0.2738 0.5000 0.9488
Ni2 0.4174 0.0000 0.6629
```

---

3.
# CrCoNi

A relaxed CrCoNi crystal (GGA-PBE, the Alexandria database).

Values from the calculation:
DFT total energy   -7.231 eV/atom
Energy relative to the elements   0.2723 eV/atom
Crystal system   orthorhombic

CIF file:
```
data_CrCoNi
_symmetry_space_group_name_H-M 'C m c m'
_symmetry_Int_Tables_number 63
_symmetry_space_group_name_Hall '-C 2c 2'
_cell_length_a 2.3806
_cell_length_b 14.1611
_cell_length_c 4.0685
_cell_angle_alpha 90.00
_cell_angle_beta 90.00
_cell_angle_gamma 90.00
loop_
_atom_site_label
_atom_site_fract_x
_atom_site_fract_y
_atom_site_fract_z
Cr1 0.0000 0.2009 0.2500
Co1 0.0000 0.3686 0.2500
Ni1 0.0000 0.4562 0.7500
```

---

4.
# Cr2CoNi2

A relaxed Cr2CoNi2 crystal (GGA-PBE, the Alexandria database).

Values from the calculation:
DFT total energy   -7.254 eV/atom
Energy relative to the elements   0.3291 eV/atom
Crystal system   tetragonal

CIF file:
```
data_Cr2CoNi2
_symmetry_space_group_name_H-M 'P 4/m b m'
_symmetry_Int_Tables_number 127
_symmetry_space_group_name_Hall '-P 4 2ab'
_cell_length_a 6.9284
_cell_length_b 6.9284
_cell_length_c 2.4615
_cell_angle_alpha 90.00
_cell_angle_beta 90.00
_cell_angle_gamma 90.00
loop_
_atom_site_label
_atom_site_fract_x
_atom_site_fract_y
_atom_site_fract_z
Cr1 0.1169 0.3831 0.0000
Co1 0.0000 0.0000 0.0000
Ni1 0.1773 0.6773 0.5000
```